1.
The following is a DFT calculation (PBE-GGA) of an optimized crystal structure of Zn2CrSb.

```
Zn2CrSb
1.0
-2.0051 2.0051 4.2102
2.0051 -2.0051 4.2102
2.0051 2.0051 -4.2102
Zn Cr Sb
2 1 1
direct
0.0000 0.0000 0.0000
0.7500 0.2500 0.5000
0.2500 0.7500 0.5000
0.5000 0.5000 0.0000
```

## Properties
- Formation energy (no corrections): 0.22 eV/atom
- Uncorrected energy: -3.8548 eV/atom

***

2.
The following is a DFT calculation (PBE-GGA) of an optimized crystal structure of Zn2CrSb.

```
Zn2CrSb
1.0
3.7709 0.0000 0.0000
0.0000 3.7709 0.0000
0.0000 0.0000 5.0864
Zn Cr Sb
2 1 1
direct
0.0000 0.5000 0.0000
0.5000 0.0000 0.0000
0.0000 0.0000 0.3862
0.5000 0.5000 0.5452
```

## Properties
- Formation energy (no corrections): 0.20 eV/atom
- Uncorrected energy: -3.8750 eV/atom

***

3.
The following is a DFT calculation (PBE-GGA) of an optimized crystal structure of ZnCr2Sb.

```
ZnCr2Sb
1.0
3.1350 0.0000 0.0000
0.0000 4.0982 0.0000
-1.4972 0.0000 5.0715
Zn Cr Sb
1 2 1
direct
0.0000 0.0000 0.0000
0.5849 0.5000 0.1822
0.7112 0.0000 0.4233
0.3119 0.5000 0.6432
```

## Properties
- Formation energy (no corrections): 0.37 eV/atom
- Uncorrected energy: -5.7895 eV/atom

***

4.
The following is a DFT calculation (PBE-GGA) of an optimized crystal structure of ZnCr2Sb.

```
ZnCr2Sb
1.0
4.1857 0.0000 0.0000
0.0000 4.1857 0.0000
0.0000 0.0000 3.7299
Zn Cr Sb
1 2 1
direct
0.0000 0.0000 0.0000
0.0000 0.5000 0.5000
0.5000 0.0000 0.5000
0.5000 0.5000 0.0000
```

## Properties
- Formation energy (no corrections): 0.32 eV/atom
- Uncorrected energy: -5.8381 eV/atom

***

5.
The following is a DFT calculation (PBE-GGA) of an optimized crystal structure of ZnCr4Sb.

```
ZnCr4Sb
1.0
0.0000 3.4653 3.4653
3.4653 0.0000 3.4653
3.4653 3.4653 0.0000
Zn Cr Sb
1 4 1
direct
0.0000 0.0000 0.0000
0.1198 0.6267 0.6267
0.6267 0.1198 0.6267
0.6267 0.6267 0.1198
0.6267 0.6267 0.6267
0.2500 0.2500 0.2500
```

## Properties
- Formation energy (no corrections): 0.38 eV/atom
- Uncorrected energy: -6.9379 eV/atom

***

6.
The following is a DFT calculation (PBE-GGA) of an optimized crystal structure of ZnCrSb.

```
ZnCrSb
1.0
-1.5475 1.5475 6.1722
1.5475 -1.5475 6.1722
1.5475 1.5475 -6.1722
Zn Cr Sb
1 1 1
direct
0.0000 0.0000 0.0000
0.6236 0.6236 0.0000
0.2743 0.2743 0.0000
```

## Properties
- Formation energy (no corrections): 0.34 eV/atom
- Uncorrected energy: -4.6701 eV/atom

***

7.
The following is a DFT calculation (PBE-GGA) of an optimized crystal structure of Zn2CrSb.

```
Zn2CrSb
1.0
0.0000 3.3478 3.3478
3.3478 0.0000 3.3478
3.3478 3.3478 0.0000
Zn Cr Sb
2 1 1
direct
0.0000 0.0000 0.0000
0.2500 0.2500 0.2500
0.5000 0.5000 0.5000
0.7500 0.7500 0.7500
```

## Properties
- Formation energy (no corrections): 0.34 eV/atom
- Uncorrected energy: -3.7305 eV/atom

***

8.
The following is a DFT calculation (PBE-GGA) of an optimized crystal structure of Zn2CrSb.

```
Zn2CrSb
1.0
3.6103 0.0000 0.0000
0.0000 3.6103 0.0000
0.0000 0.0000 5.4334
Zn Cr Sb
2 1 1
direct
0.0000 0.0000 0.2304
0.0000 0.0000 0.7696
0.5000 0.5000 0.0000
0.5000 0.5000 0.5000
```

## Properties
- Formation energy (no corrections): 0.26 eV/atom
- Uncorrected energy: -3.8183 eV/atom

***

no.,size of the total moment (μB/atom)
1,0.64
2,0.72
3,0.13
4,1.54
5,0.00
6,0.97
7,1.05
8,0.78